No. 1
NaLaNp2O8: optimized geometry, PBE.

Cell lengths 5.459, 5.459, 6.478 Å; angles 114.92, 114.92, 90.00 degrees
Atoms (fractional coordinates):
O 0.592 0.626 0.749
Np 0.500 0.500 0.000
O 0.592 0.124 0.750
O 0.158 0.626 0.750
La 0.000 0.000 0.000
O 0.876 0.842 0.250
Np 0.250 0.750 0.500
Na 0.750 0.250 0.500
O 0.158 0.123 0.749
O 0.877 0.408 0.251
O 0.374 0.408 0.250
O 0.374 0.842 0.251

Summary:
Crystal system = tetragonal
Total DFT energy (no corrections) = -8.701 eV per atom
E_form (uncorrected) = -2718 meV per atom
Space-group type = I-4m2

---

No. 2
Na2LiYCl6: optimized geometry, PBE.

Cell lengths 6.913, 6.912, 7.318 Å; angles 61.85, 61.85, 59.99 degrees
Atoms (fractional coordinates):
Cl 0.950 0.591 0.259
Y 0.323 0.323 0.031
Cl 0.200 0.950 0.259
Cl 0.094 0.447 0.759
Li 0.811 0.811 0.567
Na 0.526 0.526 0.423
Cl 0.591 0.200 0.259
Cl 0.447 0.700 0.759
Na 0.020 0.020 0.940
Cl 0.700 0.094 0.759

Summary:
Crystal system = trigonal
Total DFT energy (no corrections) = -4.202 eV per atom
E_form (uncorrected) = -1992 meV per atom
ΔE to the lowest computed polymorph = 0.000 eV per atom
Space-group type = R3

---

No. 3
CeH3Ir: optimized geometry, PBE.

Cell lengths 4.536, 5.032, 5.282 Å; angles 90.00, 90.00, 90.00 degrees
Atoms (fractional coordinates):
H 0.738 0.082 0.750
Ce 0.765 0.750 0.250
Ce 0.235 0.250 0.750
Ir 0.273 0.250 0.250
Ir 0.727 0.750 0.750
H 0.262 0.918 0.250
H 0.738 0.418 0.750
H 0.262 0.582 0.250
H 0.353 0.750 0.750
H 0.647 0.250 0.250

Summary:
Crystal system = orthorhombic
Total DFT energy (no corrections) = -5.410 eV per atom
Space-group type = Pmmn

---

No. 4
Pr2SmDyTe6: optimized geometry, PBE.

Cell lengths 7.913, 7.913, 8.468 Å; angles 62.14, 62.15, 59.99 degrees
Atoms (fractional coordinates):
Pr 0.515 0.515 0.456
Pr 0.014 0.014 0.959
Te 0.102 0.428 0.758
Te 0.595 0.217 0.254
Sm 0.822 0.822 0.533
Te 0.427 0.713 0.758
Te 0.217 0.934 0.254
Te 0.713 0.102 0.758
Dy 0.323 0.323 0.030
Te 0.934 0.595 0.254

Summary:
Crystal system = trigonal
Total DFT energy (no corrections) = -5.149 eV per atom
E_form (uncorrected) = -1376 meV per atom
Space-group type = R3

---

No. 5
BeIn: optimized geometry, PBE.

Cell lengths 5.072, 5.072, 6.938 Å; angles 90.00, 90.00, 120.00 degrees
Atoms (fractional coordinates):
Be 0.333 0.667 0.400
Be 0.333 0.667 0.100
In 0.000 0.000 0.250
In 0.667 0.333 0.250
In 0.333 0.667 0.750
Be 0.667 0.333 0.600
In 0.000 0.000 0.750
Be 0.667 0.333 0.900

Summary:
Crystal system = hexagonal
Total DFT energy (no corrections) = -2.574 eV per atom
ΔE to the lowest computed polymorph = 0.373 eV per atom
Space-group type = P6_3/mmc

---

No. 6
Hf4In2Sn: optimized geometry, PBE.

Cell lengths 6.043, 6.043, 10.259 Å; angles 90.00, 90.00, 117.30 degrees
Atoms (fractional coordinates):
Hf 0.000 0.500 0.750
Hf 0.000 0.500 0.250
Sn 0.500 0.500 0.250
In 0.237 0.763 0.000
Hf 0.744 0.744 0.500
Hf 0.256 0.256 0.000
In 0.763 0.237 0.000
Hf 0.500 0.000 0.750
In 0.763 0.237 0.500
Hf 0.744 0.744 0.000
In 0.237 0.763 0.500
Hf 0.256 0.256 0.500
Sn 0.500 0.500 0.750
Hf 0.500 0.000 0.250

Summary:
Crystal system = orthorhombic
Total DFT energy (no corrections) = -6.956 eV per atom
Space-group type = Cmmm

---

No. 7
TbHfSc6: optimized geometry, PBE.

Cell lengths 4.520, 6.627, 6.627 Å; angles 90.03, 90.00, 90.00 degrees
Atoms (fractional coordinates):
Sc 0.000 0.387 0.613
Sc 0.000 0.863 0.137
Sc 0.000 0.863 0.613
Sc 0.000 0.387 0.137
Sc 0.500 0.125 0.375
Sc 0.500 0.625 0.875
Tb 0.500 0.125 0.875
Hf 0.500 0.625 0.375

Summary:
Crystal system = tetragonal
Total DFT energy (no corrections) = -6.511 eV per atom
Space-group type = P4/mmm

---

No. 8
HfZrTlIn: optimized geometry, PBE.

Cell lengths 4.409, 4.503, 4.483 Å; angles 90.00, 90.00, 90.00 degrees
Atoms (fractional coordinates):
In 0.500 0.500 0.000
Tl 0.500 0.000 0.500
Hf 0.000 0.000 0.000
Zr 0.000 0.500 0.500

Summary:
Crystal system = orthorhombic
Total DFT energy (no corrections) = -6.003 eV per atom
Space-group type = Pmmm